(1)
First-principles (PBE) data for an optimized crystal structure of ScHgB2Ir, as listed in the Alexandria database.

Unit cell a=4.1239 b=4.1239 c=5.3186 alpha=90.00 beta=90.00 gamma=90.00
With the nearest neighbours (Å) after each atom.
Fractional coordinates of all 5 atoms:
Sc  0.0000  0.0000  0.0000  4 Ir 2.92
Hg  0.5000  0.5000  0.5000  4 B 2.06
B  0.0000  0.5000  0.5000  2 Hg 2.06
B  0.5000  0.0000  0.5000  2 Hg 2.06
Ir  0.5000  0.5000  0.0000  2 Hg 2.66, 4 Sc 2.92

Values from the calculation:
Its energy of formation is 1.49 eV per atom.

=====

(2)
First-principles (PBE) data for an optimized crystal structure of Pm2Dy2Y15, as listed in the Alexandria database.

Unit cell a=8.7926 b=8.7926 c=8.7926 alpha=79.20 beta=79.20 gamma=79.20
With the nearest neighbours (Å) after each atom.
Fractional coordinates of all 19 atoms:
Pm  0.0971  0.0971  0.0971  1 Pm 3.47, 12 Y 3.47-3.83
Pm  0.9029  0.9029  0.9029  1 Pm 3.47, 12 Y 3.47-3.83
Dy  0.3212  0.3212  0.3212  15 Y 3.93-4.25, 1 Pm 4.00
Dy  0.6788  0.6788  0.6788  15 Y 3.93-4.25, 1 Pm 4.00
Y  0.0000  0.0000  0.5000  8 Y 3.36-3.44, 2 Pm 3.47
Y  0.0000  0.3021  0.6979  6 Y 3.29-3.44
Y  0.0000  0.5000  0.0000  8 Y 3.36-3.44, 2 Pm 3.47
Y  0.0000  0.6979  0.3021  6 Y 3.29-3.44
Y  0.1508  0.6278  0.6278  6 Y 3.28-3.36
Y  0.3021  0.0000  0.6979  6 Y 3.29-3.44
Y  0.3021  0.6979  0.0000  6 Y 3.29-3.44
Y  0.3722  0.3722  0.8492  6 Y 3.28-3.36
Y  0.3722  0.8492  0.3722  6 Y 3.28-3.36
Y  0.5000  0.0000  0.0000  8 Y 3.36-3.44, 2 Pm 3.47
Y  0.6278  0.1508  0.6278  6 Y 3.28-3.36
Y  0.6278  0.6278  0.1508  6 Y 3.28-3.36
Y  0.6979  0.0000  0.3021  6 Y 3.29-3.44
Y  0.6979  0.3021  0.0000  6 Y 3.29-3.44
Y  0.8492  0.3722  0.3722  6 Y 3.28-3.36

Values from the calculation:
Its energy of formation is 0.30 eV per atom.

=====

(3)
First-principles (PBE) data for an optimized crystal structure of KMoPSe2, as listed in the Alexandria database.

Unit cell a=5.2784 b=5.2784 c=4.7016 alpha=90.00 beta=90.00 gamma=90.00
With the nearest neighbours (Å) after each atom.
Fractional coordinates of all 5 atoms:
K  0.0000  0.0000  0.0000  8 Se 3.53, 4 Mo 3.73
Mo  0.5000  0.5000  0.0000  2 P 2.35
P  0.5000  0.5000  0.5000  2 Mo 2.35
Se  0.0000  0.5000  0.5000  2 P 2.64
Se  0.5000  0.0000  0.5000  2 P 2.64

Values from the calculation:
The calculation puts the energy relative to the elements, uncorrected at 329 meV per atom.

=====

(4)
First-principles (PBE) data for an optimized crystal structure of AcPmTeIr, as listed in the Alexandria database.

Unit cell a=8.1890 b=8.1890 c=8.1890 alpha=30.53 beta=30.53 gamma=30.53
With the nearest neighbours (Å) after each atom.
Fractional coordinates of all 4 atoms:
Ac  0.0000  0.0000  0.0000  3 Ir 3.01
Pm  0.1954  0.1954  0.1954  3 Ir 2.93
Te  0.7709  0.7709  0.7709  3 Pm 3.28, 3 Ac 3.49
Ir  0.5944  0.5944  0.5944  3 Pm 2.93, 3 Ac 3.01

Values from the calculation:
The calculation puts the energy relative to the elements, uncorrected at -1005 meV per atom.

=====

| no. | E_tot (eV/atom) |
| --- | --- |
| 1 | -4.2767 |
| 2 | -5.7850 |
| 3 | -4.5326 |
| 4 | -6.2201 |